No. 1
# CsLaHRh

An optimized crystal structure of CsLaHRh (PBE, Alexandria via LeMat-Bulk).

Unit cell a=3.595 b=7.842 c=7.842 alpha=28.77 beta=90.00 gamma=90.00
Sites, in units of the cell vectors:
Cs (0.000, 0.000, 0.000)
La (0.000, 0.262, 0.262)
H (0.500, 0.386, 0.386)
Rh (0.500, 0.688, 0.688)

* ρ: 5.9 Mg/m³
* polymorph energy (0 for the lowest one): 80.6 meV/atom
* space group: Amm2 (38)
* crystal system: orthorhombic

No. 2
# CsLaTeHRh

An optimized crystal structure of CsLaTeHRh (PBE, Alexandria via LeMat-Bulk).

Unit cell a=4.078 b=4.080 c=8.960 alpha=84.04 beta=84.33 gamma=86.96
Sites, in units of the cell vectors:
Cs (0.000, 0.000, 0.000)
La (0.076, 0.083, 0.433)
Te (0.560, 0.564, 0.685)
H (0.858, 0.860, 0.697)
Rh (0.566, 0.573, 0.389)

* ρ: 5.7 Mg/m³
* polymorph energy (0 for the lowest one): 448.7 meV/atom
* space group: P1 (1)
* crystal system: triclinic

No. 3
# CsLaTeHRh

An optimized crystal structure of CsLaTeHRh (PBE, Alexandria via LeMat-Bulk).

Unit cell a=4.646 b=4.668 c=9.014 alpha=75.79 beta=75.33 gamma=60.28
Sites, in units of the cell vectors:
Cs (0.000, 0.000, 0.000)
La (0.843, 0.834, 0.475)
Te (0.437, 0.428, 0.694)
H (0.606, 0.607, 0.183)
Rh (0.543, 0.541, 0.375)

* ρ: 5.1 Mg/m³
* polymorph energy (0 for the lowest one): 45.6 meV/atom
* space group: P1 (1)
* crystal system: triclinic

No. 4
# CsLaTeHRh

An optimized crystal structure of CsLaTeHRh (PBE, Alexandria via LeMat-Bulk).

Unit cell a=8.920 b=8.920 c=8.920 alpha=30.42 beta=30.42 gamma=30.42
Sites, in units of the cell vectors:
Cs (0.000, 0.000, 0.000)
La (0.818, 0.818, 0.818)
Te (0.559, 0.559, 0.559)
H (0.386, 0.386, 0.386)
Rh (0.451, 0.451, 0.451)

* ρ: 5.2 Mg/m³
* polymorph energy (0 for the lowest one): 32.8 meV/atom
* space group: R3m (160)
* crystal system: trigonal

No. 5
# CsLaTeHRh

An optimized crystal structure of CsLaTeHRh (PBE, Alexandria via LeMat-Bulk).

Unit cell a=4.097 b=4.106 c=8.389 alpha=85.91 beta=86.37 gamma=88.57
Sites, in units of the cell vectors:
Cs (0.000, 0.000, 0.000)
La (0.942, 0.933, 0.527)
Te (0.454, 0.447, 0.319)
H (0.515, 0.517, 0.838)
Rh (0.502, 0.501, 0.641)

* ρ: 6.0 Mg/m³
* polymorph energy (0 for the lowest one): 0.0 meV/atom
* space group: P1 (1)
* crystal system: triclinic

No. 6
# CsLaTeHRh

An optimized crystal structure of CsLaTeHRh (PBE, Alexandria via LeMat-Bulk).

Unit cell a=4.714 b=5.645 c=6.157 alpha=86.98 beta=72.73 gamma=86.72
Sites, in units of the cell vectors:
Cs (0.000, 0.000, 0.000)
La (0.233, 0.509, 0.433)
Te (0.581, 0.505, 0.832)
H (0.404, 0.062, 0.350)
Rh (0.486, 0.829, 0.513)

* ρ: 5.4 Mg/m³
* polymorph energy (0 for the lowest one): 146.0 meV/atom
* space group: P1 (1)
* crystal system: triclinic

No. 7
# CsLaTeHRh

An optimized crystal structure of CsLaTeHRh (PBE, Alexandria via LeMat-Bulk).

Unit cell a=4.681 b=4.681 c=8.442 alpha=90.00 beta=90.00 gamma=120.00
Sites, in units of the cell vectors:
Cs (0.000, 0.000, 0.000)
La (0.667, 0.333, 0.460)
Te (0.333, 0.667, 0.683)
H (0.333, 0.667, 0.162)
Rh (0.333, 0.667, 0.357)

* ρ: 5.2 Mg/m³
* polymorph energy (0 for the lowest one): 25.8 meV/atom
* space group: P3m1 (156)
* crystal system: trigonal

No. 8
# CsLaTeHRh

An optimized crystal structure of CsLaTeHRh (PBE, Alexandria via LeMat-Bulk).

Unit cell a=3.981 b=4.013 c=9.591 alpha=93.71 beta=101.62 gamma=93.55
Sites, in units of the cell vectors:
Cs (0.000, 0.000, 0.000)
La (0.201, 0.902, 0.409)
Te (0.345, 0.457, 0.706)
H (0.743, 0.311, 0.715)
Rh (0.679, 0.479, 0.310)

* ρ: 5.6 Mg/m³
* polymorph energy (0 for the lowest one): 495.5 meV/atom
* space group: P1 (1)
* crystal system: triclinic

Number 1: volume 26.6 A^3/atom, total magnetic moment 0.000 μB/f.u.. Number 2: volume 29.5 A^3/atom, total magnetic moment 0.000 μB/f.u.. Number 3: volume 32.5 A^3/atom, total magnetic moment 0.000 μB/f.u.. Number 4: volume 32.2 A^3/atom, total magnetic moment 0.000 μB/f.u.. Number 5: volume 28.1 A^3/atom, total magnetic moment 0.000 μB/f.u.. Number 6: volume 31.2 A^3/atom, total magnetic moment 0.000 μB/f.u.. Number 7: volume 32.0 A^3/atom, total magnetic moment 0.000 μB/f.u.. Number 8: volume 29.9 A^3/atom, total magnetic moment 0.000 μB/f.u..